# 1
A geometry-optimized Ca2LaAl structure, computed with PBE.

```
data_Ca2LaAl
_space_group_name_H-M_alt 'C m m m'
_space_group_IT_number 65
_space_group_name_Hall '-C 2 2'
_cell_length_a 7.012
_cell_length_b 9.804
_cell_length_c 3.770
_cell_angle_alpha 90.00
_cell_angle_beta 90.00
_cell_angle_gamma 90.00
loop_
_atom_site_label
_atom_site_fract_x
_atom_site_fract_y
_atom_site_fract_z
_atom_site_occupancy
Ca1 0.250 0.250 0.000 1
La1 0.000 0.000 0.500 1
Al1 0.000 0.500 0.500 1
```

Values from the calculation:
energy relative to the elements = 0.084 eV per atom
N(E_F) = 3.0 states/eV/f.u.

---

# 2
A geometry-optimized KLaBe2 structure, computed with PBE.

```
data_KLaBe2
_space_group_name_H-M_alt 'R 3 m'
_space_group_IT_number 160
_space_group_name_Hall 'R 3 -2"'
_cell_length_a 4.0206
_cell_length_b 4.0206
_cell_length_c 25.4143
_cell_angle_alpha 90.00
_cell_angle_beta 90.00
_cell_angle_gamma 120.00
loop_
_atom_site_label
_atom_site_fract_x
_atom_site_fract_y
_atom_site_fract_z
_atom_site_occupancy
K1 0.0000 0.0000 0.0000 1
La1 0.0000 0.0000 0.1690 1
Be1 0.0000 0.0000 0.4333 1
Be2 0.0000 0.0000 0.7666 1
```

Values from the calculation:
energy relative to the elements = 0.381 eV per atom
N(E_F) = 3.2 states/eV/f.u.

---

# 3
A geometry-optimized Ba4Li3Pd2 structure, computed with PBE.

```
data_Ba4Li3Pd2
_space_group_name_H-M_alt 'C 1 2/m 1'
_space_group_IT_number 12
_space_group_name_Hall '-C 2y'
_cell_length_a 18.081
_cell_length_b 4.647
_cell_length_c 7.716
_cell_angle_alpha 90.00
_cell_angle_beta 108.33
_cell_angle_gamma 90.00
loop_
_atom_site_label
_atom_site_fract_x
_atom_site_fract_y
_atom_site_fract_z
_atom_site_occupancy
Ba1 0.065 0.000 0.336 1
Ba2 0.232 0.500 0.202 1
Li1 0.000 0.500 0.000 1
Li2 0.098 0.500 0.761 1
Pd1 0.110 0.000 0.950 1
```

Values from the calculation:
energy relative to the elements = -0.237 eV per atom
N(E_F) = 6.5 states/eV/f.u.

---

# 4
A geometry-optimized Ho2HPb2 structure, computed with PBE.

```
data_Ho2HPb2
_space_group_name_H-M_alt 'C m c 21'
_space_group_IT_number 36
_space_group_name_Hall 'C 2c -2'
_cell_length_a 3.745
_cell_length_b 15.723
_cell_length_c 8.591
_cell_angle_alpha 90.00
_cell_angle_beta 90.00
_cell_angle_gamma 90.00
loop_
_atom_site_label
_atom_site_fract_x
_atom_site_fract_y
_atom_site_fract_z
_atom_site_occupancy
Ho1 0.000 0.034 0.000 1
Ho2 0.000 0.355 0.853 1
H1 0.000 0.082 0.366 1
Pb1 0.000 0.292 0.500 1
Pb2 0.000 0.422 0.211 1
```

Values from the calculation:
N(E_F) = 1.9 states/eV/f.u.
DFT total energy = -87.003 eV for the cell shown

---

# 5
A geometry-optimized NaUAg2I6 structure, computed with PBE.

```
data_NaUAg2I6
_space_group_name_H-M_alt 'C 1 2/c 1'
_space_group_IT_number 15
_space_group_name_Hall '-C 2yc'
_cell_length_a 16.772
_cell_length_b 13.664
_cell_length_c 8.187
_cell_angle_alpha 90.00
_cell_angle_beta 117.45
_cell_angle_gamma 90.00
loop_
_atom_site_label
_atom_site_fract_x
_atom_site_fract_y
_atom_site_fract_z
_atom_site_occupancy
Na1 0.000 0.082 0.250 1
U1 0.000 0.264 0.750 1
Ag1 0.194 0.407 0.082 1
I1 0.116 0.092 0.696 1
I2 0.118 0.245 0.175 1
I3 0.127 0.416 0.700 1
```

Values from the calculation:
N(E_F) = 2.6 states/eV/f.u.
formation energy (no corrections) = -616 kJ/mol of formula units

---

# 6
A geometry-optimized Nb2HRu structure, computed with PBE.

```
data_Nb2HRu
_space_group_name_H-M_alt 'F m -3 m'
_space_group_IT_number 225
_space_group_name_Hall '-F 4 2 3'
_cell_length_a 6.144
_cell_length_b 6.144
_cell_length_c 6.144
_cell_angle_alpha 90.00
_cell_angle_beta 90.00
_cell_angle_gamma 90.00
loop_
_atom_site_label
_atom_site_fract_x
_atom_site_fract_y
_atom_site_fract_z
_atom_site_occupancy
Nb1 0.250 0.250 0.250 1
H1 0.000 0.000 0.000 1
Ru1 0.000 0.000 0.500 1
```

Values from the calculation:
N(E_F) = 3.7 states/eV/f.u.
DFT total energy = -125.574 eV for the cell shown

---

# 7
A geometry-optimized YFeGe2I structure, computed with PBE.

```
data_YFeGe2I
_space_group_name_H-M_alt 'P 4/m m m'
_space_group_IT_number 123
_space_group_name_Hall '-P 4 2'
_cell_length_a 4.461
_cell_length_b 4.461
_cell_length_c 5.447
_cell_angle_alpha 90.00
_cell_angle_beta 90.00
_cell_angle_gamma 90.00
loop_
_atom_site_label
_atom_site_fract_x
_atom_site_fract_y
_atom_site_fract_z
_atom_site_occupancy
Y1 0.000 0.000 0.000 1
Fe1 0.500 0.500 0.500 1
Ge1 0.000 0.500 0.500 1
I1 0.500 0.500 0.000 1
```

Values from the calculation:
N(E_F) = 4.9 states/eV/f.u.
formation energy (no corrections) = 43 kJ/mol of formula units

---

# 8
A geometry-optimized NaTlBO4 structure, computed with PBE.

```
data_NaTlBO4
_space_group_name_H-M_alt 'C m c m'
_space_group_IT_number 63
_space_group_name_Hall '-C 2c 2'
_cell_length_a 5.852
_cell_length_b 9.236
_cell_length_c 6.278
_cell_angle_alpha 90.00
_cell_angle_beta 90.00
_cell_angle_gamma 90.00
loop_
_atom_site_label
_atom_site_fract_x
_atom_site_fract_y
_atom_site_fract_z
_atom_site_occupancy
Na1 0.000 0.000 0.000 1
Tl1 0.000 0.336 0.250 1
B1 0.000 0.358 0.750 1
O1 0.000 0.255 0.567 1
O2 0.204 0.450 0.750 1
```

Values from the calculation:
N(E_F) = 4.6 states/eV/f.u.
formation energy (no corrections) = -891 kJ/mol of formula units

---

# 9
A geometry-optimized Tb3Sm2Ho6Pu structure, computed with PBE.

```
data_Tb3Sm2Ho6Pu
_space_group_name_H-M_alt 'C 1 2/m 1'
_space_group_IT_number 12
_space_group_name_Hall '-C 2y'
_cell_length_a 6.134
_cell_length_b 10.633
_cell_length_c 11.684
_cell_angle_alpha 90.00
_cell_angle_beta 100.12
_cell_angle_gamma 90.00
loop_
_atom_site_label
_atom_site_fract_x
_atom_site_fract_y
_atom_site_fract_z
_atom_site_occupancy
Tb1 0.000 0.000 0.000 1
Tb2 0.000 0.333 0.000 1
Sm1 0.000 0.167 0.500 1
Ho1 0.246 0.500 0.251 1
Ho2 0.248 0.335 0.749 1
Pu1 0.000 0.500 0.500 1
```

Values from the calculation:
energy relative to the elements = 0.044 eV per atom
N(E_F) = 24.3 states/eV/f.u.

---

# 10
A geometry-optimized K4TlCd3 structure, computed with PBE.

```
data_K4TlCd3
_space_group_name_H-M_alt 'P m m 2'
_space_group_IT_number 25
_space_group_name_Hall 'P 2 -2'
_cell_length_a 4.967
_cell_length_b 5.179
_cell_length_c 13.122
_cell_angle_alpha 90.00
_cell_angle_beta 90.00
_cell_angle_gamma 90.00
loop_
_atom_site_label
_atom_site_fract_x
_atom_site_fract_y
_atom_site_fract_z
_atom_site_occupancy
K1 0.000 0.000 0.000 1
K2 0.000 0.500 0.300 1
K3 0.500 0.000 0.497 1
K4 0.500 0.500 0.803 1
Tl1 0.000 0.000 0.708 1
Cd1 0.000 0.500 0.592 1
Cd2 0.500 0.000 0.206 1
Cd3 0.500 0.500 0.096 1
```

Values from the calculation:
energy relative to the elements = -0.061 eV per atom
N(E_F) = 4.7 states/eV/f.u.

---

# 11
A geometry-optimized CdIn2Se structure, computed with PBE.

```
data_CdIn2Se
_space_group_name_H-M_alt 'R 3 m'
_space_group_IT_number 160
_space_group_name_Hall 'R 3 -2"'
_cell_length_a 3.9645
_cell_length_b 3.9645
_cell_length_c 23.8438
_cell_angle_alpha 90.00
_cell_angle_beta 90.00
_cell_angle_gamma 120.00
loop_
_atom_site_label
_atom_site_fract_x
_atom_site_fract_y
_atom_site_fract_z
_atom_site_occupancy
Cd1 0.0000 0.0000 0.0000 1
In1 0.0000 0.0000 0.2431 1
In2 0.0000 0.0000 0.4214 1
Se1 0.0000 0.0000 0.8307 1
```

Values from the calculation:
N(E_F) = 1.3 states/eV/f.u.
formation energy (no corrections) = -69 kJ/mol of formula units

---

# 12
A geometry-optimized BeTlSe2N structure, computed with PBE.

```
data_BeTlSe2N
_space_group_name_H-M_alt 'P 4/m m m'
_space_group_IT_number 123
_space_group_name_Hall '-P 4 2'
_cell_length_a 5.453
_cell_length_b 5.453
_cell_length_c 4.254
_cell_angle_alpha 90.00
_cell_angle_beta 90.00
_cell_angle_gamma 90.00
loop_
_atom_site_label
_atom_site_fract_x
_atom_site_fract_y
_atom_site_fract_z
_atom_site_occupancy
Be1 0.000 0.000 0.000 1
Tl1 0.500 0.500 0.500 1
Se1 0.000 0.500 0.500 1
N1 0.500 0.500 0.000 1
```

Values from the calculation:
N(E_F) = 3.4 states/eV/f.u.
formation energy (no corrections) = 775 kJ/mol of formula units

---

no.,mass density (Mg/m³)
1,3.2
2,2.7
3,4.2
4,9.8
5,4.9
6,8.2
7,6.4
8,5.9
9,8.9
10,3.4
11,6.5
12,5.1